In2SnS (PBE-GGA, relaxed); excess energy over the best structure of this formula in the dataset = 284 meV/atom; volume = 139 Å³ per cell; VASP energy = -3.30 eV/atom; raw formation energy = 0.390 eV per formula unit
1.0
-2.9349 -1.8859 2.8735
1.5067 -2.2029 3.6475
-0.7197 5.3142 6.3070
S Sn In
1 1 2
Direct
0.0000 0.0000 0.0000
0.5000 0.5000 0.5000
0.1017 0.1017 0.6948
0.8983 0.8983 0.3052